# InHO2

A PBEsol-optimized structure of InHO2 (SCAN, Alexandria via LeMat-Bulk).

```
InHO2
1.0
1.657 0.957 4.549
-1.657 0.957 4.549
0.000 -1.914 4.549
In H O
1 1 2
Direct
0.000 0.000 0.000
0.500 0.500 0.500
0.411 0.411 0.411
0.589 0.589 0.589
```

Results
symmetry	R-3m (166)
crystal system	trigonal
calculated total energy	-13.83	eV/atom